Entry 1:
DFT (GGA-PBEsol) results for crystalline BeInAs2 at its relaxed geometry. Values from VASP.

The structure in Quantum ESPRESSO input format:
```
&SYSTEM
  ibrav = 0, nat = 4, ntyp = 3
/
ATOMIC_SPECIES
As 74.92 As.upf
In 114.82 In.upf
Be 9.01 Be.upf
ATOMIC_POSITIONS crystal
As 0.7500 0.7500 0.7500
As 0.2500 0.2500 0.2500
In 0.5000 0.5000 0.5000
Be 0.0000 0.0000 0.0000
CELL_PARAMETERS angstrom
-3.8613 0.9839 -2.4501
-1.7280 -3.1420 -3.0039
-4.0104 -2.2038 0.9700
```

## Properties
Its volume is 18.09 A^3/atom. The calculation puts the total magnetization at 0.000 μB/atom. Its electronic total energy is -3.78 eV/atom.

Entry 2:
DFT (GGA-PBEsol) results for crystalline Li2YSc at its relaxed geometry. Values from VASP.

The structure in Quantum ESPRESSO input format:
```
&SYSTEM
  ibrav = 0, nat = 4, ntyp = 3
/
ATOMIC_SPECIES
Li 6.94 Li.upf
Sc 44.96 Sc.upf
Y 88.91 Y.upf
ATOMIC_POSITIONS crystal
Li 0.0000 0.0000 0.0000
Li 0.7500 0.2500 0.5000
Sc 0.5000 0.5000 0.0000
Y 0.2500 0.7500 0.5000
CELL_PARAMETERS angstrom
4.2901 0.0000 0.0000
0.0000 4.2901 0.0000
-2.1450 -2.1450 5.0262
```

## Properties
Its volume is 23.13 A^3/atom. For the offset from the most stable computed form, the calculation gives 184.0 meV/atom. The calculation puts the total magnetization at 0.000 μB/atom. Its electronic total energy is -4.06 eV/atom.

Entry 3:
DFT (GGA-PBEsol) results for crystalline BaTlSb2 at its relaxed geometry. Values from VASP.

The structure in Quantum ESPRESSO input format:
```
&SYSTEM
  ibrav = 0, nat = 4, ntyp = 3
/
ATOMIC_SPECIES
Sb 121.76 Sb.upf
Tl 204.38 Tl.upf
Ba 137.33 Ba.upf
ATOMIC_POSITIONS crystal
Sb 0.8750 0.5000 0.2966
Tl 0.3758 0.0000 0.3844
Sb 0.8748 0.0000 0.9986
Ba 0.3745 0.5000 0.8204
CELL_PARAMETERS angstrom
4.7256 0.0000 0.0452
0.0000 5.1398 0.0000
-0.0560 0.0000 5.4229
```

## Properties
Its volume is 32.93 A^3/atom. For the offset from the most stable computed form, the calculation gives 7.1 meV/atom. The calculation puts the total magnetization at 0.000 μB/atom. Its electronic total energy is -3.97 eV/atom. The formation energy (no corrections) is -0.50 eV per atom.

Entry 4:
DFT (GGA-PBEsol) results for crystalline AuCl2 at its relaxed geometry. Values from VASP.

The structure in Quantum ESPRESSO input format:
```
&SYSTEM
  ibrav = 0, nat = 3, ntyp = 2
/
ATOMIC_SPECIES
Cl 35.45 Cl.upf
Au 196.97 Au.upf
ATOMIC_POSITIONS crystal
Cl 0.8626 0.0000 0.2748
Cl 0.1374 0.0000 0.7252
Au 0.5000 0.0000 0.0000
CELL_PARAMETERS angstrom
-0.2023 2.6225 2.5021
-3.3322 1.9749 0.2943
-2.0386 -2.5352 5.1258
```

## Properties
Its volume is 24.08 A^3/atom. The calculation puts the total magnetization at 0.001 μB/atom. Its electronic total energy is -2.80 eV/atom. The formation energy (no corrections) is -0.15 eV per atom.

Entry 5:
DFT (GGA-PBEsol) results for crystalline TlPbSe2 at its relaxed geometry. Values from VASP.

The structure in Quantum ESPRESSO input format:
```
&SYSTEM
  ibrav = 0, nat = 4, ntyp = 3
/
ATOMIC_SPECIES
Tl 204.38 Tl.upf
Se 78.96 Se.upf
Pb 207.20 Pb.upf
ATOMIC_POSITIONS crystal
Tl 0.5000 0.5000 0.0000
Se 0.0000 0.0000 0.0000
Pb 0.2500 0.7500 0.5000
Se 0.7500 0.2500 0.5000
CELL_PARAMETERS angstrom
4.2220 0.0000 0.0000
0.0000 4.2220 0.0000
-2.1110 -2.1110 5.7944
```

## Properties
Its volume is 25.82 A^3/atom. The calculation puts the total magnetization at 0.000 μB/atom. Its electronic total energy is -3.73 eV/atom. The formation energy (no corrections) is -0.15 eV per atom.

Entry 6:
DFT (GGA-PBEsol) results for crystalline RbHgI2 at its relaxed geometry. Values from VASP.

The structure in Quantum ESPRESSO input format:
```
&SYSTEM
  ibrav = 0, nat = 4, ntyp = 3
/
ATOMIC_SPECIES
Rb 85.47 Rb.upf
I 126.90 I.upf
Hg 200.59 Hg.upf
ATOMIC_POSITIONS crystal
Rb 0.0000 0.0000 0.0000
I 0.2500 0.2500 0.2500
I 0.7500 0.7500 0.7500
Hg 0.5000 0.5000 0.5000
CELL_PARAMETERS angstrom
5.8424 0.0000 0.0000
2.9212 5.0596 0.0000
2.9212 1.6865 4.7703
```

## Properties
Its volume is 35.25 A^3/atom. The calculation puts the total magnetization at 0.000 μB/atom. Its electronic total energy is -1.88 eV/atom. The formation energy (no corrections) is -0.60 eV per atom.

Entry 7:
DFT (GGA-PBEsol) results for crystalline Tc3Ru at its relaxed geometry. Values from VASP.

The structure in Quantum ESPRESSO input format:
```
&SYSTEM
  ibrav = 0, nat = 4, ntyp = 2
/
ATOMIC_SPECIES
Tc 98.00 Tc.upf
Ru 101.07 Ru.upf
ATOMIC_POSITIONS crystal
Tc 0.5000 0.5000 0.8339
Ru 0.0000 0.0000 0.9976
Tc 0.0000 0.5000 0.3336
Tc 0.5000 0.0000 0.5016
CELL_PARAMETERS angstrom
-1.6809 1.6114 1.3885
-3.3776 -1.8088 -1.9898
-0.2789 -3.2252 3.4052
```

## Properties
Its volume is 13.75 A^3/atom. For the offset from the most stable computed form, the calculation gives 5.1 meV/atom. The calculation puts the total magnetization at 0.000 μB/atom. Its electronic total energy is -11.04 eV/atom.

Entry 8:
DFT (GGA-PBEsol) results for crystalline Pr2TlIn at its relaxed geometry. Values from VASP.

The structure in Quantum ESPRESSO input format:
```
&SYSTEM
  ibrav = 0, nat = 4, ntyp = 3
/
ATOMIC_SPECIES
Pr 140.91 Pr.upf
Tl 204.38 Tl.upf
In 114.82 In.upf
ATOMIC_POSITIONS crystal
Pr 0.2500 0.2500 0.2500
Pr 0.7500 0.7500 0.7500
Tl 0.0000 0.0000 0.0000
In 0.5000 0.5000 0.5000
CELL_PARAMETERS angstrom
5.4451 0.0000 0.0000
2.7225 4.7156 0.0000
2.7225 1.5719 4.4459
```

## Properties
Its volume is 28.54 A^3/atom. The calculation puts the total magnetization at 0.000 μB/atom. Its electronic total energy is -4.49 eV/atom.

Entry 9:
DFT (GGA-PBEsol) results for crystalline MgB12C2 at its relaxed geometry. Values from VASP.

The structure in Quantum ESPRESSO input format:
```
&SYSTEM
  ibrav = 0, nat = 30, ntyp = 3
/
ATOMIC_SPECIES
B 10.81 B.upf
C 12.01 C.upf
Mg 24.30 Mg.upf
ATOMIC_POSITIONS crystal
B 0.3238 0.3627 0.4670
B 0.8465 0.3627 0.4670
C 0.1633 0.2074 0.4660
B 0.7256 0.5963 0.2757
B 0.5939 0.2243 0.5880
B 0.2256 0.7757 0.0963
B 0.7744 0.2243 0.9037
B 0.4061 0.7757 0.4120
C 0.8367 0.7926 0.5340
B 0.9024 0.7757 0.0963
B 0.6667 0.3536 0.3129
Mg 0.2500 0.3902 0.1098
B 0.1535 0.6373 0.5330
B 0.8333 0.1871 0.1464
B 0.0939 0.0880 0.7243
B 0.3333 0.6464 0.6871
B 0.0976 0.2243 0.9037
B 0.3465 0.9670 0.8627
C 0.6633 0.9660 0.7074
B 0.6762 0.6373 0.5330
B 0.8238 0.9670 0.8627
B 0.5976 0.4037 0.7243
C 0.3367 0.0340 0.2926
Mg 0.7500 0.6098 0.8902
B 0.2744 0.4037 0.7243
B 0.1667 0.8129 0.8536
B 0.4024 0.5963 0.2757
B 0.1762 0.0330 0.1373
B 0.6535 0.0330 0.1373
B 0.9061 0.9120 0.2757
CELL_PARAMETERS angstrom
-2.7214 -0.3824 -4.8669
1.2660 -5.8114 -3.4607
-5.5314 -4.0882 0.2048
```

## Properties
Its volume is 7.21 A^3/atom. The calculation puts the total magnetization at 0.000 μB/atom. Its electronic total energy is -7.22 eV/atom.

Entry 10:
DFT (GGA-PBEsol) results for crystalline KPbO2 at its relaxed geometry. Values from VASP.

The structure in Quantum ESPRESSO input format:
```
&SYSTEM
  ibrav = 0, nat = 16, ntyp = 3
/
ATOMIC_SPECIES
Pb 207.20 Pb.upf
O 16.00 O.upf
K 39.10 K.upf
ATOMIC_POSITIONS crystal
Pb 0.9467 0.2356 0.7443
O 0.7158 0.4354 0.7971
K 0.9774 0.2516 0.2521
O 0.7171 0.0226 0.4307
O 0.6916 0.4920 0.4004
Pb 0.0533 0.7644 0.2557
K 0.4709 0.2490 0.9949
O 0.3084 0.5080 0.5996
Pb 0.5080 0.7409 0.5006
O 0.2737 0.0250 0.1948
K 0.0226 0.7484 0.7479
O 0.2842 0.5646 0.2029
Pb 0.4920 0.2591 0.4994
O 0.7263 0.9750 0.8052
O 0.2829 0.9774 0.5693
K 0.5291 0.7510 0.0051
CELL_PARAMETERS angstrom
-4.9646 0.1748 -4.0178
-1.5602 -4.9704 4.6802
-0.8455 7.1243 2.0942
```

## Properties
Its volume is 17.41 A^3/atom. The calculation puts the total magnetization at 0.000 μB/atom. Its electronic total energy is -5.14 eV/atom. The formation energy (no corrections) is -1.23 eV per atom.

Entry 11:
DFT (GGA-PBEsol) results for crystalline CdAg2HgAs at its relaxed geometry. Values from VASP.

The structure in Quantum ESPRESSO input format:
```
&SYSTEM
  ibrav = 0, nat = 5, ntyp = 4
/
ATOMIC_SPECIES
Ag 107.87 Ag.upf
Cd 112.41 Cd.upf
As 74.92 As.upf
Hg 200.59 Hg.upf
ATOMIC_POSITIONS crystal
Ag 0.5000 0.0000 0.0000
Cd 0.0000 0.0000 0.0000
As 0.5000 0.5000 0.5000
Ag 0.0000 0.5000 0.0000
Hg 0.0000 0.0000 0.5000
CELL_PARAMETERS angstrom
-4.7949 1.2025 0.9524
-0.7955 -4.6219 1.8302
1.3284 1.6131 4.6510
```

## Properties
Its volume is 25.85 A^3/atom. The calculation puts the total magnetization at 0.000 μB/atom. Its electronic total energy is -1.80 eV/atom.

Entry 12:
DFT (GGA-PBEsol) results for crystalline Cs3YNb at its relaxed geometry. Values from VASP.

The structure in Quantum ESPRESSO input format:
```
&SYSTEM
  ibrav = 0, nat = 5, ntyp = 3
/
ATOMIC_SPECIES
Nb 92.91 Nb.upf
Cs 132.91 Cs.upf
Y 88.91 Y.upf
ATOMIC_POSITIONS crystal
Nb 0.5000 0.5000 0.5000
Cs 0.0000 0.0000 0.5000
Cs 0.0000 0.5000 0.0000
Y 0.0000 0.0000 0.0000
Cs 0.5000 0.0000 0.0000
CELL_PARAMETERS angstrom
6.9975 0.0000 0.0000
0.0000 6.9975 0.0000
0.0000 0.0000 6.9975
```

## Properties
Its volume is 68.53 A^3/atom. The calculation puts the total magnetization at 1.425 μB/atom. Its electronic total energy is -2.16 eV/atom.

How do the records compare in theoretical density? In the order shown, they have 6.28 2.65 7.38 6.16 9.16 6.36 11.93 8.74 2.74 6.63 7.76 2.81 g cm⁻³.